Record 1
Crystalline Na3TlHg12 at its relaxed geometry, computed with PBE.

## Properties
- N(E_F): 0.403 states/eV per atom
- Energy: -0.76 eV per atom
- Formation energy from the elements: -0.140 eV per atom
- Space group: P4/mmm

Lattice parameters (Å, degrees): 4.7695 4.7695 18.6805 90.00 90.00 90.00
Atoms (fractional coordinates):
1 Na 0.0000 0.0000 0.7470
2 Na 0.0000 0.0000 0.2530
3 Na 0.0000 0.0000 0.5000
4 Hg 0.5000 0.0000 0.8690
5 Hg 0.5000 0.5000 0.2535
6 Hg 0.0000 0.5000 0.3759
7 Hg 0.5000 0.5000 0.5000
8 Hg 0.0000 0.5000 0.8690
9 Hg 0.5000 0.0000 0.3759
10 Hg 0.5000 0.0000 0.1310
11 Hg 0.0000 0.5000 0.1310
12 Hg 0.5000 0.5000 0.0000
13 Hg 0.5000 0.5000 0.7465
14 Hg 0.5000 0.0000 0.6241
15 Hg 0.0000 0.5000 0.6241
16 Tl 0.0000 0.0000 0.0000

---

Record 2
Crystalline NaTl3Hg7 at its relaxed geometry, computed with PBE.

## Properties
- N(E_F): 0.387 states/eV per atom
- Excess energy over the best structure of this formula in the dataset: 0.000 eV/atom
- Energy: -1.00 eV per atom
- Formation energy from the elements: -0.041 eV per atom
- Space group: Cmcm

Lattice parameters (Å, degrees): 3.3903 16.9010 11.0213 90.00 90.00 95.76
Atoms (fractional coordinates):
1 Hg 0.2778 0.5556 0.9109
2 Hg 0.3587 0.7174 0.0458
3 Hg 0.3540 0.7080 0.7500
4 Hg 0.7222 0.4444 0.0891
5 Hg 0.6413 0.2826 0.5458
6 Hg 0.5218 0.0436 0.8813
7 Hg 0.4782 0.9564 0.3813
8 Hg 0.3587 0.7174 0.4542
9 Hg 0.7222 0.4444 0.4109
10 Hg 0.6460 0.2920 0.2500
11 Hg 0.6413 0.2826 0.9542
12 Hg 0.4782 0.9564 0.1187
13 Hg 0.5218 0.0436 0.6187
14 Hg 0.2778 0.5556 0.5891
15 Tl 0.9315 0.8630 0.8987
16 Tl 0.9315 0.8630 0.6013
17 Tl 0.0685 0.1370 0.3987
18 Tl 0.8011 0.6022 0.2500
19 Tl 0.0685 0.1370 0.1013
20 Tl 0.1989 0.3978 0.7500
21 Na 0.0932 0.1863 0.7500
22 Na 0.9068 0.8137 0.2500

---

Record 3
Crystalline NaTl2Hg7 at its relaxed geometry, computed with PBE.

## Properties
- N(E_F): 0.419 states/eV per atom
- Excess energy over the best structure of this formula in the dataset: 0.000 eV/atom
- Energy: -0.87 eV per atom
- Formation energy from the elements: -0.055 eV per atom
- Space group: Cmmm

Lattice parameters (Å, degrees): 3.3037 6.1918 13.9004 102.87 90.00 90.00
Atoms (fractional coordinates):
1 Hg 0.0000 0.8109 0.6218
2 Hg 0.5000 0.5000 0.0000
3 Hg 0.5000 0.1495 0.8069
4 Hg 0.0000 0.1891 0.3782
5 Hg 0.5000 0.3426 0.1931
6 Hg 0.5000 0.8505 0.1931
7 Hg 0.5000 0.6574 0.8069
8 Tl 0.5000 0.2946 0.5893
9 Tl 0.5000 0.7054 0.4107
10 Na 0.0000 0.0000 0.0000

---

Record 4
Crystalline Na12TlHg7 at its relaxed geometry, computed with PBE.

## Properties
- N(E_F): 0.445 states/eV per atom
- Excess energy over the best structure of this formula in the dataset: 0.010 eV/atom
- Energy: -1.17 eV per atom
- Formation energy from the elements: -0.158 eV per atom
- Space group: R-3

Lattice parameters (Å, degrees): 9.9051 8.8377 8.8377 73.10 68.06 111.94
Atoms (fractional coordinates):
1 Hg 0.6705 0.5569 0.3288
2 Hg 0.3295 0.4431 0.6712
3 Hg 0.1137 0.1143 0.5569
4 Hg 0.5000 0.0000 0.0000
5 Hg 0.0007 0.6712 0.8857
6 Hg 0.9993 0.3288 0.1143
7 Hg 0.8863 0.8857 0.4431
8 Na 0.3828 0.7099 0.8275
9 Na 0.2716 0.2119 0.1057
10 Na 0.7897 0.1725 0.5374
11 Na 0.2103 0.8275 0.4626
12 Na 0.6172 0.2901 0.1725
13 Na 0.6227 0.8943 0.3177
14 Na 0.7284 0.7881 0.8943
15 Na 0.9404 0.3177 0.7881
16 Na 0.3271 0.5374 0.2901
17 Na 0.6729 0.4626 0.7099
18 Na 0.3773 0.1057 0.6823
19 Na 0.0596 0.6823 0.2119
20 Tl 0.0000 0.0000 0.0000

---

Record 5
Crystalline Na3Tl7Hg2 at its relaxed geometry, computed with PBE.

## Properties
- N(E_F): 0.399 states/eV per atom
- Energy: -1.83 eV per atom
- Formation energy from the elements: -0.067 eV per atom
- Space group: P2/m

Lattice parameters (Å, degrees): 3.5105 5.5790 18.2548 99.09 90.00 90.00
Atoms (fractional coordinates):
1 Tl 0.5000 0.8986 0.8131
2 Tl 0.5000 0.7305 0.4618
3 Tl 0.5000 0.2695 0.5382
4 Tl 0.0000 0.4197 0.8540
5 Tl 0.0000 0.5803 0.1460
6 Tl 0.0000 0.0000 0.0000
7 Tl 0.5000 0.1014 0.1869
8 Na 0.0000 0.1866 0.3609
9 Na 0.5000 0.5000 0.0000
10 Na 0.0000 0.8134 0.6391
11 Hg 0.5000 0.3424 0.7030
12 Hg 0.5000 0.6576 0.2970

---

Record 6
Crystalline Na3Tl3Hg at its relaxed geometry, computed with PBE.

## Properties
- N(E_F): 0.425 states/eV per atom
- Excess energy over the best structure of this formula in the dataset: 0.000 eV/atom
- Energy: -1.72 eV per atom
- Formation energy from the elements: -0.099 eV per atom
- Space group: Pnma

Lattice parameters (Å, degrees): 4.5805 13.9879 12.8117 90.00 90.00 90.00
Atoms (fractional coordinates):
1 Na 0.2500 0.7668 0.3068
2 Na 0.7500 0.1865 0.9770
3 Na 0.7500 0.6865 0.5230
4 Na 0.2500 0.5216 0.1931
5 Na 0.2500 0.0216 0.3069
6 Na 0.2500 0.8135 0.0230
7 Na 0.2500 0.2668 0.1932
8 Na 0.7500 0.4784 0.8069
9 Na 0.7500 0.7332 0.8068
10 Na 0.2500 0.3135 0.4770
11 Na 0.7500 0.9784 0.6931
12 Na 0.7500 0.2332 0.6932
13 Hg 0.7500 0.9046 0.1847
14 Hg 0.2500 0.0954 0.8153
15 Hg 0.2500 0.5954 0.6847
16 Hg 0.7500 0.4046 0.3153
17 Tl 0.7500 0.9162 0.4435
18 Tl 0.2500 0.0838 0.5565
19 Tl 0.2500 0.0515 0.0691
20 Tl 0.2500 0.3301 0.8879
21 Tl 0.2500 0.8301 0.6121
22 Tl 0.7500 0.6699 0.1121
23 Tl 0.7500 0.1699 0.3879
24 Tl 0.2500 0.5515 0.4309
25 Tl 0.7500 0.4485 0.5691
26 Tl 0.7500 0.9485 0.9309
27 Tl 0.2500 0.5838 0.9435
28 Tl 0.7500 0.4162 0.0565